The following is a PBE-GGA calculation of crystalline Mn2CuHg at its relaxed geometry, from Alexandria.

abc: 8.7393 8.7393 8.7393
angles: 19.66 19.66 19.66
Atoms (fractional coordinates):
Cu  0.2500  0.2500  0.2500
Hg  0.7500  0.7500  0.7500
Mn  0.9918  0.9918  0.9918
Mn  0.5082  0.5082  0.5082

Values from the calculation:
Calculated density = 9.401 g/cm3
Energy of formation = 411 meV per atom
E_tot = -5.273 eV/atom

---

The following is a PBE-GGA calculation of crystalline TmFe2Tc at its relaxed geometry, from Alexandria.

abc: 4.4769 4.4763 15.8045
angles: 90.00 90.00 90.00
Atoms (fractional coordinates):
Tm  0.0000  0.2500  0.6253
Tm  0.5000  0.7500  0.1246
Tm  0.0000  0.7500  0.3747
Tm  0.5000  0.2500  0.8754
Fe  0.0000  0.0000  0.0000
Fe  0.5000  0.5000  0.5000
Fe  0.2501  0.7500  0.7501
Fe  0.7499  0.2500  0.2499
Fe  0.7499  0.7500  0.7501
Fe  0.2501  0.2500  0.2499
Fe  0.0000  0.5000  0.0000
Fe  0.5000  0.0000  0.5000
Tc  0.5000  0.7500  0.6250
Tc  0.5000  0.2500  0.3750
Tc  0.0000  0.2500  0.1249
Tc  0.0000  0.7500  0.8751

Values from the calculation:
Calculated density = 7.940 g/cm3
Energy of formation = 631 meV per atom
E_tot = -7.310 eV/atom